No. 1
Rb2LiHoCl6 | PBE | relaxed

The calculation puts the uncorrected formation energy at -202.63 kJ per mole of atoms. For the density of states at the Fermi level, the calculation gives 0.000 states/eV/atom.

The structure belongs to space group Fm-3m (No. 225); the cell edges are 10.4478, 10.4478 and 10.4478 Å and the angles 90.00°, 90.00° and 90.00°. The inequivalent atoms are Rb at (0.2500, 0.2500, 0.2500), Li at (0.0000, 0.0000, 0.0000), Ho at (0.0000, 0.0000, 0.5000) and Cl at (0.0000, 0.0000, 0.2490).

=====

No. 2
ZrScIn2 | PBE | relaxed

For the energy of formation from the pure elements, the calculation gives -1.5 eV/f.u. For the density of states at the Fermi level, the calculation gives 0.810 states/eV/atom. The energy above the most stable polymorph in this dataset comes out at 7 meV/atom.

The structure belongs to space group P2/m (No. 10); the cell edges are 3.1847, 4.3815 and 6.3803 Å and the angles 90.00°, 90.22° and 90.00°. The inequivalent atoms are Zr at (0.0000, 0.0000, 0.0000), Sc at (0.0000, 0.0000, 0.5000) and In at (0.5001, 0.5000, 0.2515).

=====

No. 3
KInPb2 | PBE | relaxed

For the energy of formation from the pure elements, the calculation gives -0.2 eV/f.u. For the density of states at the Fermi level, the calculation gives 0.481 states/eV/atom.

The structure belongs to space group Cm (No. 8); the cell edges are 11.0040, 3.5968 and 6.8833 Å and the angles 90.00°, 97.95° and 90.00°. The inequivalent atoms are K at (0.0000, 0.0000, 0.0000), In at (0.2538, 0.5000, 0.2961), Pb at (0.2431, 0.0000, 0.7058) and Pb at (0.4984, 0.0000, 0.4920).

=====

No. 4
Hg5GeAu4 | PBE | relaxed

For the energy of formation from the pure elements, the calculation gives 0.8 eV/f.u. For the density of states at the Fermi level, the calculation gives 0.316 states/eV/atom.

The structure belongs to space group C2/m (No. 12); the cell edges are 15.5870, 4.0633 and 7.5627 Å and the angles 90.00°, 94.68° and 90.00°. The inequivalent atoms are Hg at (0.0000, 0.0000, 0.0000), Hg at (0.1672, 0.5000, 0.3304), Hg at (0.1861, 0.5000, 0.9133), Ge at (0.0000, 0.0000, 0.5000), Au at (0.0113, 0.5000, 0.7351) and Au at (0.1568, 0.0000, 0.6258).

=====

> Which formula does entry 1 have?

Rb2LiHoCl6